DFT (GGA-PBE) results for crystalline NiC at its relaxed geometry.

Summary:
Its formation energy is 1039 meV per atom. The calculation puts the total magnetization at 0.0 μB per formula unit. Its symmetry is Amm2, No. 38.

Cell: 2.8050 9.0815 5.0103 Å, 90.00 90.00 90.00°
Positions (direct):
1 Ni 0.0000 0.2947 0.8709
2 Ni 0.0000 0.7053 0.8709
3 Ni 0.0000 0.7947 0.3709
4 Ni 0.0000 0.2053 0.3709
5 Ni 0.5000 0.0000 0.5524
6 Ni 0.5000 0.5000 0.0524
7 C 0.5000 0.8128 0.7033
8 C 0.5000 0.1872 0.7033
9 C 0.5000 0.3128 0.2033
10 C 0.5000 0.6872 0.2033
11 C 0.0000 0.0000 0.3012
12 C 0.0000 0.5000 0.8012